# 1
The following is a DFT calculation (PBE) of crystalline Sr3Li4Pd4 at its relaxed geometry.

The structure in POSCAR format:
```
Sr3Li4Pd4
1.0
-2.201 3.721 7.445
2.201 -3.721 7.445
2.201 3.721 -7.445
Sr Li Pd
3 4 4
direct
0.000 0.000 0.000
0.375 0.875 0.500
0.625 0.125 0.500
0.016 0.326 0.690
0.363 0.674 0.690
0.637 0.326 0.310
0.984 0.674 0.310
0.218 0.218 0.000
0.315 0.500 0.815
0.685 0.500 0.185
0.782 0.782 0.000
```

VASP energy: -3.47 eV/atom
Distance to the lowest polymorph of the same formula: 0 meV per atom



# 2
The following is a DFT calculation (PBE) of crystalline Sn2HW at its relaxed geometry.

The structure in POSCAR format:
```
Sn2HW
1.0
6.625 0.000 0.000
0.000 6.625 0.000
0.000 0.000 6.625
Sn H W
8 4 4
direct
0.250 0.250 0.250
0.250 0.250 0.750
0.250 0.750 0.250
0.250 0.750 0.750
0.750 0.250 0.250
0.750 0.250 0.750
0.750 0.750 0.250
0.750 0.750 0.750
0.000 0.000 0.000
0.000 0.500 0.500
0.500 0.000 0.500
0.500 0.500 0.000
0.000 0.000 0.500
0.000 0.500 0.000
0.500 0.000 0.000
0.500 0.500 0.500
```

VASP energy: -5.01 eV/atom
Distance to the lowest polymorph of the same formula: 334 meV per atom



# 3
The following is a DFT calculation (PBE) of crystalline Pr3YIn at its relaxed geometry.

The structure in POSCAR format:
```
Pr3YIn
1.0
5.512 0.000 0.000
0.000 7.607 0.000
0.000 0.000 8.026
Pr Y In
6 2 2
direct
0.250 0.043 0.216
0.250 0.250 0.728
0.250 0.457 0.216
0.750 0.543 0.784
0.750 0.750 0.272
0.750 0.957 0.784
0.250 0.750 0.555
0.750 0.250 0.445
0.250 0.750 0.934
0.750 0.250 0.066
```

VASP energy: -4.82 eV/atom
Distance to the lowest polymorph of the same formula: 82 meV per atom



# 4
The following is a DFT calculation (PBE) of crystalline HoTlGa at its relaxed geometry.

The structure in POSCAR format:
```
HoTlGa
1.0
4.625 0.000 0.000
-2.312 4.005 0.000
0.000 0.000 3.904
Ho Tl Ga
1 1 1
direct
0.000 0.000 0.000
0.667 0.333 0.417
0.333 0.667 0.645
```

VASP energy: -3.64 eV/atom
Distance to the lowest polymorph of the same formula: 0 meV per atom



# 5
The following is a DFT calculation (PBE) of crystalline ErMgGa5 at its relaxed geometry.

The structure in POSCAR format:
```
ErMgGa5
1.0
4.064 0.000 0.000
0.000 4.064 0.000
0.000 0.000 8.752
Er Mg Ga
1 1 5
direct
0.000 0.000 0.000
0.500 0.500 0.500
0.000 0.500 0.260
0.000 0.500 0.740
0.500 0.000 0.260
0.500 0.000 0.740
0.500 0.500 0.000
```

VASP energy: -3.27 eV/atom



# 6
The following is a DFT calculation (PBE) of crystalline Pr2GaAg2 at its relaxed geometry.

The structure in POSCAR format:
```
Pr2GaAg2
1.0
5.483 -2.281 0.000
5.483 2.281 0.000
-4.884 0.000 10.141
Pr Ga Ag
4 2 4
direct
0.023 0.023 0.344
0.196 0.196 0.113
0.804 0.804 0.887
0.977 0.977 0.656
0.273 0.273 0.662
0.727 0.727 0.338
0.354 0.354 0.438
0.484 0.484 0.118
0.516 0.516 0.882
0.646 0.646 0.562
```

VASP energy: -4.00 eV/atom



# 7
The following is a DFT calculation (PBE) of crystalline Ac12NiRh5 at its relaxed geometry.

The structure in POSCAR format:
```
Ac12NiRh5
1.0
3.770 -6.521 0.000
3.770 6.521 0.000
-2.541 0.000 13.807
Ac Ni Rh
12 1 5
direct
0.039 0.371 0.115
0.128 0.128 0.384
0.206 0.539 0.616
0.293 0.293 0.885
0.371 0.039 0.115
0.461 0.794 0.384
0.539 0.206 0.616
0.629 0.961 0.885
0.707 0.707 0.115
0.794 0.461 0.384
0.872 0.872 0.616
0.961 0.629 0.885
0.000 0.000 0.000
0.167 0.833 0.500
0.333 0.667 0.000
0.500 0.500 0.500
0.667 0.333 0.000
0.833 0.167 0.500
```

VASP energy: -5.59 eV/atom



# 8
The following is a DFT calculation (PBE) of crystalline CaTi at its relaxed geometry.

The structure in POSCAR format:
```
CaTi
1.0
5.607 0.000 0.000
-2.804 4.856 0.000
0.000 0.000 6.302
Ca Ti
2 2
direct
0.333 0.667 0.250
0.667 0.333 0.750
0.333 0.667 0.750
0.667 0.333 0.250
```

VASP energy: -3.27 eV/atom
Distance to the lowest polymorph of the same formula: 1223 meV per atom



# 9
The following is a DFT calculation (PBE) of crystalline Mg3In2Rh3 at its relaxed geometry.

The structure in POSCAR format:
```
Mg3In2Rh3
1.0
4.321 0.000 0.000
0.000 4.368 0.000
0.000 0.000 7.269
Mg In Rh
3 2 3
direct
0.000 0.000 0.000
0.500 0.000 0.279
0.500 0.000 0.721
0.000 0.500 0.265
0.000 0.500 0.735
0.000 0.000 0.500
0.500 0.500 0.000
0.500 0.500 0.500
```

VASP energy: -4.47 eV/atom



# 10
The following is a DFT calculation (PBE) of crystalline Zr2Zn at its relaxed geometry.

The structure in POSCAR format:
```
Zr2Zn
1.0
4.668 0.000 0.000
0.000 4.676 0.000
0.000 0.000 11.327
Zr Zn
8 4
direct
0.000 0.000 0.157
0.000 0.000 0.843
0.000 0.500 0.343
0.000 0.500 0.657
0.500 0.000 0.343
0.500 0.000 0.657
0.500 0.500 0.157
0.500 0.500 0.843
0.000 0.000 0.500
0.000 0.500 0.000
0.500 0.000 0.000
0.500 0.500 0.500
```

VASP energy: -6.30 eV/atom



# 11
The following is a DFT calculation (PBE) of crystalline HoHgBi2O4 at its relaxed geometry.

The structure in POSCAR format:
```
HoHgBi2O4
1.0
3.905 0.000 0.000
0.000 3.905 0.000
0.000 0.000 9.633
Ho Hg Bi O
1 1 2 4
direct
0.000 0.000 0.000
0.000 0.000 0.500
0.500 0.500 0.261
0.500 0.500 0.739
0.000 0.500 0.142
0.000 0.500 0.858
0.500 0.000 0.142
0.500 0.000 0.858
```

VASP energy: -5.74 eV/atom
Formation energy from raw total energies: -1.684 eV/atom



# 12
The following is a DFT calculation (PBE) of crystalline ThRuSe at its relaxed geometry.

The structure in POSCAR format:
```
ThRuSe
1.0
2.160 1.247 11.191
-2.160 1.247 11.191
0.000 -2.494 11.191
Th Ru Se
2 2 2
direct
0.236 0.236 0.236
0.764 0.764 0.764
0.160 0.160 0.160
0.840 0.840 0.840
0.385 0.385 0.385
0.615 0.615 0.615
```

VASP energy: -7.42 eV/atom
Formation energy from raw total energies: -0.691 eV/atom